No. 1
9
Lattice="8.0640 0.0000 0.0000 0.0000 3.3819 0.0000 0.0000 0.0000 3.3819" Properties=species:S:1:pos:R:3 comment="Ir2Os2O5 | OQMD via LeMat-Bulk | PBE | relaxed" e_above_lowest_polymorph_ev_per_fu=1.184 crystal_system=tetragonal volume_a3_per_cell=92 pbc="T T T"
O 2.5802 0.0000 1.6909
O 4.0320 1.6909 1.6909
O 5.4837 0.0000 1.6909
O 2.5802 1.6909 0.0000
O 5.4837 1.6909 0.0000
Ir 1.2680 1.6909 1.6909
Ir 6.7960 1.6909 1.6909
Os 4.0320 0.0000 0.0000
Os 0.0000 0.0000 0.0000



No. 2
9
Lattice="8.0383 0.0000 0.0000 0.0000 3.4103 0.0000 0.0000 0.0000 3.4103" Properties=species:S:1:pos:R:3 comment="Ir2Os2O5 | OQMD via LeMat-Bulk | PBE | relaxed" e_above_lowest_polymorph_ev_per_fu=0.000 crystal_system=tetragonal volume_a3_per_cell=93 pbc="T T T"
O 2.3927 0.0000 1.7052
O 5.6456 1.7052 0.0000
O 4.0191 1.7052 1.7052
O 2.3927 1.7052 0.0000
O 5.6456 0.0000 1.7052
Ir 0.0000 0.0000 0.0000
Ir 4.0191 0.0000 0.0000
Os 1.2725 1.7052 1.7052
Os 6.7657 1.7052 1.7052



No. 3
14
Lattice="-2.6261 5.1302 2.2239 1.3897 -0.4022 -6.0057 -4.6154 -3.3786 2.3335" Properties=species:S:1:pos:R:3 comment="IrOs2O4 | OQMD via LeMat-Bulk | PBE | relaxed" dft_energy_ev_per_atom=-7.176 crystal_system=cubic volume_a3_per_cell=167 pbc="T T T"
Os -2.8271 -0.4894 -2.2119
Os -0.5194 1.1999 -3.3786
Os -4.8350 2.2768 1.9029
Os -3.5220 -0.2883 0.7910
O -3.0930 1.7275 0.9383
O -3.3354 -2.4823 -2.0130
O -1.9088 -0.8102 -0.3889
O -3.9509 -2.3042 0.6437
O -2.3188 1.5034 -2.4108
O -1.1565 -0.7656 -3.3949
O -5.1351 0.2336 1.9708
O -4.4977 -0.2132 -1.0288
Ir -2.4285 2.8019 -0.7515
Ir 0.0000 0.0000 0.0000



No. 4
8
Lattice="-2.6903 -2.3094 1.8883 -0.4418 -2.2063 -3.3277 5.9800 -4.9383 2.4802" Properties=species:S:1:pos:R:3 comment="Sm2P2IrOsO2 | OQMD via LeMat-Bulk | PBE | relaxed" dft_energy_ev_per_atom=-8.216 crystal_system=tetragonal volume_a3_per_cell=131 pbc="T T T"
Ir 0.0000 0.0000 0.0000
P 3.7275 -5.3437 3.0481
P 0.6865 -1.8524 -1.2875
O 2.9900 -2.4691 1.2401
O 1.4240 -4.7270 0.5204
Sm 3.6069 -4.2641 -0.0763
Sm 0.8071 -2.9320 1.8368
Os -1.5660 -2.2579 -0.7197



No. 5
8
Lattice="3.9863 0.0000 0.0000 0.0000 3.9863 0.0000 0.0000 0.0000 7.9527" Properties=species:S:1:pos:R:3 comment="Tb2P2IrOsO2 | OQMD via LeMat-Bulk | PBE | relaxed" dft_energy_ev_per_atom=-8.224 crystal_system=tetragonal volume_a3_per_cell=126 pbc="T T T"
Os 0.0000 0.0000 0.0000
O 1.9932 1.9932 3.9763
O 0.0000 0.0000 3.9763
Tb 1.9932 0.0000 5.0627
Tb 0.0000 1.9932 2.8900
P 1.9932 0.0000 1.2472
P 0.0000 1.9932 6.7055
Ir 1.9932 1.9932 0.0000



No. 6
10
Lattice="4.9577 0.0000 0.0000 -0.8859 4.9254 0.0000 -1.0191 -1.2670 5.4354" Properties=species:S:1:pos:R:3 comment="IrOsPb2O6 | OQMD via LeMat-Bulk | PBE | relaxed" dft_energy_ev_per_atom=-6.556 crystal_system=triclinic volume_a3_per_cell=133 pbc="T T T"
O 0.5986 3.6565 0.0031
O 2.4541 0.0019 5.4322
O 3.0439 3.6865 1.2862
O 1.0326 1.2332 1.2853
O 0.0088 -0.0281 4.1491
O 2.0201 2.4252 4.1501
Os 2.0359 2.4627 0.0000
Ir 0.0000 0.0000 0.0000
Pb 2.9952 0.5934 2.7163
Pb 0.0575 3.0650 2.7191



No. 7
8
Lattice="4.4084 0.0000 0.0000 0.0000 4.1796 0.0000 0.0000 0.0000 7.0603" Properties=species:S:1:pos:R:3 comment="PaPIrO | OQMD via LeMat-Bulk | PBE | relaxed" e_above_lowest_polymorph_ev_per_fu=1.608 crystal_system=orthorhombic volume_a3_per_cell=130 pbc="T T T"
Pa 2.2042 3.1356 4.2461
Pa 2.2042 1.0440 0.7160
P 0.0000 3.1455 1.9559
P 0.0000 1.0341 5.4861
O 2.2042 3.1184 6.6052
O 2.2042 1.0612 3.0750
Ir 0.0000 1.0567 3.1067
Ir 0.0000 3.1229 6.6369



No. 8
8
Lattice="3.1160 -3.1160 0.0000 3.1160 3.1160 0.0000 0.0000 0.0000 6.5322" Properties=species:S:1:pos:R:3 comment="PaPIrO | OQMD via LeMat-Bulk | PBE | relaxed" e_above_lowest_polymorph_ev_per_fu=7.463 crystal_system=tetragonal volume_a3_per_cell=127 pbc="T T T"
Pa 1.5580 1.5580 3.2661
Pa 1.5580 -1.5580 3.2661
P 0.0000 0.0000 4.8961
P 3.1160 0.0000 1.6360
O 1.5580 1.5580 0.0000
O 1.5580 -1.5580 0.0000
Ir 3.1160 0.0000 5.8636
Ir 0.0000 0.0000 0.6685



No. 9
8
Lattice="3.8744 0.0000 0.0000 0.0000 3.8744 0.0000 0.0000 0.0000 8.0325" Properties=species:S:1:pos:R:3 comment="PaPIrO | OQMD via LeMat-Bulk | PBE | relaxed" e_above_lowest_polymorph_ev_per_fu=0.000 crystal_system=tetragonal volume_a3_per_cell=121 pbc="T T T"
O 0.0000 0.0000 0.0000
O 1.9372 1.9372 0.0000
P 0.0000 1.9372 5.4689
P 1.9372 0.0000 2.5636
Ir 1.9372 1.9372 4.0162
Ir 0.0000 0.0000 4.0162
Pa 1.9372 0.0000 6.6249
Pa 0.0000 1.9372 1.4076



No. 10
8
Lattice="-2.7214 4.9714 1.9635 -0.8981 -2.5973 5.3314 3.7753 1.5225 1.3777" Properties=species:S:1:pos:R:3 comment="PaPIrO | OQMD via LeMat-Bulk | PBE | relaxed" e_above_lowest_polymorph_ev_per_fu=1.676 crystal_system=tetragonal volume_a3_per_cell=155 pbc="T T T"
P -1.3596 2.4862 0.9821
P 3.3252 0.2235 4.0430
Pa 1.8877 0.7613 0.6889
Pa 0.0779 1.9484 4.3363
O -1.8098 1.1871 3.6474
O 0.0000 0.0000 0.0000
Ir 0.5282 3.2475 1.6710
Ir 1.4374 -0.5378 3.3541



No. 11
8
Lattice="3.6328 0.0000 0.0000 0.0000 7.1677 0.0000 0.0000 0.0000 5.4666" Properties=species:S:1:pos:R:3 comment="PaPIrO | OQMD via LeMat-Bulk | PBE | relaxed" e_above_lowest_polymorph_ev_per_fu=1.483 crystal_system=orthorhombic volume_a3_per_cell=142 pbc="T T T"
Ir 0.0000 0.0881 0.5943
Ir 0.0000 7.0796 3.3275
Pa 1.8164 2.0406 2.0062
Pa 1.8164 5.1271 4.7395
O 0.0000 3.1263 2.2936
O 0.0000 4.0414 5.0269
P 1.8164 6.0757 1.9610
P 1.8164 1.0920 4.6943



No. 12
8
Lattice="4.5542 0.0000 0.0000 0.0000 4.0838 0.0000 0.0000 0.0000 7.0009" Properties=species:S:1:pos:R:3 comment="PmPIrO | OQMD via LeMat-Bulk | PBE | relaxed" e_above_lowest_polymorph_ev_per_fu=2.030 crystal_system=orthorhombic volume_a3_per_cell=130 pbc="T T T"
Pm 2.2771 1.0230 4.2335
Pm 2.2771 3.0608 0.7330
P 0.0000 1.0240 1.9075
P 0.0000 3.0597 5.4079
O 2.2771 3.0667 3.0724
O 2.2771 1.0170 6.5729
Ir 0.0000 1.0164 6.5667
Ir 0.0000 3.0674 3.0662